Record 1
First-principles (PBE) data for crystalline Dy3BBr3 at its relaxed geometry, as listed in Alexandria via LeMat-Bulk.

Calculated values
ΔE_f (raw): -1.270 eV/atom
total DFT energy (no corrections): -4.91 eV per atom

Lattice parameters (Å, degrees): 9.749 9.749 9.749 109.47 109.47 109.47
Positions (direct):
Dy 0.959 0.480 0.230
Dy 0.520 0.041 0.270
Dy 0.250 0.020 0.480
Dy 0.980 0.750 0.020
Dy 0.980 0.230 0.459
Dy 0.770 0.020 0.041
Dy 0.730 0.459 0.480
Dy 0.770 0.750 0.230
Dy 0.541 0.270 0.020
Dy 0.250 0.230 0.270
Dy 0.730 0.270 0.750
Dy 0.520 0.480 0.750
B 0.750 0.500 0.000
B 0.500 0.250 0.500
B 0.750 0.250 0.250
B 0.000 0.000 0.250
Br 0.242 0.992 0.985
Br 0.750 0.758 0.742
Br 0.485 0.742 0.992
Br 0.008 0.250 0.992
Br 0.258 0.742 0.250
Br 0.492 0.508 0.250
Br 0.242 0.250 0.758
Br 0.258 0.515 0.508
Br 0.750 0.992 0.508
Br 0.015 0.508 0.758
Br 0.008 0.758 0.515
Br 0.492 0.985 0.742

Record 2
First-principles (PBE) data for crystalline PrErPt at its relaxed geometry, as listed in Alexandria via LeMat-Bulk.

Calculated values
distance to the lowest polymorph of the same formula: 0.159 eV per atom
energy of formation: -0.6647 eV per atom
total DFT energy (no corrections): -5.79 eV per atom

Lattice parameters (Å, degrees): 4.335 4.667 4.667 120.00 90.00 90.00
Positions (direct):
Pr 0.712 0.667 0.333
Pt 0.063 0.000 0.000
Er 0.225 0.333 0.667

Record 3
First-principles (PBE) data for crystalline Mg3BCl at its relaxed geometry, as listed in Alexandria via LeMat-Bulk.

Calculated values
distance to the lowest polymorph of the same formula: 0.000 eV per atom
ΔE_f (raw): -0.294 eV/atom
total DFT energy (no corrections): -2.96 eV per atom

Lattice parameters (Å, degrees): 4.600 4.600 4.600 90.00 90.00 90.00
Positions (direct):
Mg 0.000 0.500 0.000
Mg 0.000 0.000 0.500
Mg 0.500 0.000 0.000
B 0.000 0.000 0.000
Cl 0.500 0.500 0.500

Record 4
First-principles (PBE) data for crystalline MgTlRe2 at its relaxed geometry, as listed in Alexandria via LeMat-Bulk.

Calculated values
distance to the lowest polymorph of the same formula: 0.841 eV per atom
energy of formation: 1.1294 eV per atom
total DFT energy (no corrections): -6.08 eV per atom

Lattice parameters (Å, degrees): 4.594 4.594 4.594 60.00 60.00 60.00
Site moments in Bohr magnetons follow the coordinates.
Positions (direct):
Re 0.250 0.250 0.250  0.32
Re 0.750 0.750 0.750  0.32
Tl 0.500 0.500 0.500  0.01
Mg 0.000 0.000 0.000  0.00

Record 5
First-principles (PBE) data for crystalline CePu2Si6 at its relaxed geometry, as listed in Alexandria via LeMat-Bulk.

Calculated values
distance to the lowest polymorph of the same formula: 0.267 eV per atom
ΔE_f (raw): -0.261 eV/atom
total DFT energy (no corrections): -7.72 eV per atom

Lattice parameters (Å, degrees): 3.837 7.471 7.471 65.87 75.12 75.12
Site moments in Bohr magnetons follow the coordinates.
Positions (direct):
Ce 0.000 0.000 0.000  0.51
Pu 0.873 0.627 0.627  5.06
Pu 0.127 0.373 0.373  5.06
Si 0.690 0.034 0.585  -0.03
Si 0.310 0.966 0.415  -0.03
Si 0.310 0.415 0.966  -0.03
Si 0.500 0.705 0.295  -0.05
Si 0.500 0.295 0.705  -0.05
Si 0.690 0.585 0.034  -0.03

Record 6
First-principles (PBE) data for crystalline PmLuPb2 at its relaxed geometry, as listed in Alexandria via LeMat-Bulk.

Calculated values
energy of formation: -0.4148 eV per atom
total DFT energy (no corrections): -4.59 eV per atom

Lattice parameters (Å, degrees): 4.470 5.053 5.053 90.00 90.00 90.00
Positions (direct):
Pb 0.000 0.000 0.500
Pb 0.000 0.500 0.000
Lu 0.500 0.000 0.000
Pm 0.500 0.500 0.500

Record 7
First-principles (PBE) data for crystalline Ba5Sr2CaMg2 at its relaxed geometry, as listed in Alexandria via LeMat-Bulk.

Calculated values
energy of formation: 0.0514 eV per atom
total DFT energy (no corrections): -1.77 eV per atom

Lattice parameters (Å, degrees): 5.714 13.493 13.493 90.00 90.00 90.00
Positions (direct):
Ba 0.500 0.207 0.074
Ba 0.500 0.793 0.926
Ba 0.500 0.074 0.793
Ba 0.500 0.707 0.426
Ba 0.500 0.926 0.207
Ba 0.500 0.293 0.574
Ba 0.500 0.574 0.707
Ba 0.500 0.426 0.293
Ba 0.500 0.500 0.000
Ba 0.500 0.000 0.500
Sr 0.000 0.672 0.172
Sr 0.000 0.328 0.828
Sr 0.000 0.172 0.328
Sr 0.000 0.828 0.672
Ca 0.000 0.000 0.000
Ca 0.000 0.500 0.500
Mg 0.000 0.122 0.622
Mg 0.000 0.878 0.378
Mg 0.000 0.622 0.878
Mg 0.000 0.378 0.122

Record 8
First-principles (PBE) data for crystalline ScBe2Al at its relaxed geometry, as listed in Alexandria via LeMat-Bulk.

Calculated values
energy of formation: -0.0927 eV per atom
total DFT energy (no corrections): -4.47 eV per atom

Lattice parameters (Å, degrees): 3.886 3.886 4.991 67.06 67.06 60.08
Positions (direct):
Sc 0.750 0.750 0.750
Be 0.954 0.954 0.138
Be 0.546 0.546 0.362
Al 0.250 0.250 0.250

Record 9
First-principles (PBE) data for crystalline KSb2TeC at its relaxed geometry, as listed in Alexandria via LeMat-Bulk.

Calculated values
distance to the lowest polymorph of the same formula: 1.750 eV per atom
ΔE_f (raw): 2.469 eV/atom
total DFT energy (no corrections): -1.87 eV per atom

Lattice parameters (Å, degrees): 6.043 6.043 5.945 90.00 90.00 90.00
Site moments in Bohr magnetons follow the coordinates.
Positions (direct):
Sb 0.000 0.500 0.000  -0.27
Sb 0.500 0.000 0.000  -0.27
K 0.000 0.000 0.000  -0.02
Te 0.000 0.000 0.500  0.16
C 0.500 0.500 0.500  0.94

Record 10
First-principles (PBE) data for crystalline RuN2Cl at its relaxed geometry, as listed in Alexandria via LeMat-Bulk.

Calculated values
distance to the lowest polymorph of the same formula: 0.000 eV per atom
ΔE_f (raw): 0.782 eV/atom
total DFT energy (no corrections): -6.16 eV per atom

Lattice parameters (Å, degrees): 5.768 5.768 5.806 60.22 60.22 90.00
Positions (direct):
Ru 0.000 0.000 0.000
Ru 0.750 0.250 0.500
N 0.806 0.125 0.250
N 0.944 0.625 0.250
N 0.375 0.194 0.750
N 0.875 0.056 0.750
Cl 0.500 0.500 0.000
Cl 0.250 0.750 0.500

Record 11
First-principles (PBE) data for crystalline La5Pu3Se12 at its relaxed geometry, as listed in Alexandria via LeMat-Bulk.

Calculated values
ΔE_f (raw): -1.533 eV/atom
total DFT energy (no corrections): -7.01 eV per atom

Lattice parameters (Å, degrees): 15.055 15.055 15.055 109.47 109.47 109.47
Site moments in Bohr magnetons follow the coordinates.
Positions (direct):
Pu 0.750 0.375 0.125  -5.20
Pu 0.875 0.750 0.125  -5.20
Pu 0.375 0.750 0.625  -5.20
Pu 0.250 0.125 0.375  -5.20
Pu 0.875 0.125 0.250  -5.20
Pu 0.375 0.625 0.250  -5.20
Pu 0.625 0.375 0.750  -5.20
Pu 0.125 0.875 0.750  -5.20
Pu 0.750 0.875 0.625  -5.20
Pu 0.625 0.250 0.375  -5.20
Pu 0.125 0.250 0.875  -5.20
Pu 0.250 0.625 0.875  -5.20
La 0.125 0.375 0.250  0.00
La 0.000 0.500 0.000  0.00
La 0.000 0.000 0.000  0.00
La 0.375 0.250 0.125  0.00
La 0.500 0.000 0.500  0.00
La 0.500 0.500 0.000  0.00
La 0.125 0.750 0.375  0.00
La 0.750 0.125 0.875  0.00
La 0.750 0.625 0.375  0.00
La 0.375 0.125 0.750  0.00
La 0.625 0.875 0.250  0.00
La 0.500 0.500 0.500  0.00
La 0.500 0.000 0.000  0.00
La 0.000 0.000 0.500  0.00
La 0.250 0.375 0.625  0.00
La 0.250 0.875 0.125  0.00
La 0.000 0.500 0.500  0.00
La 0.875 0.250 0.625  0.00
La 0.625 0.750 0.875  0.00
La 0.875 0.625 0.750  0.00
Se 0.729 0.134 0.056  0.06
Se 0.327 0.556 0.422  0.06
Se 0.944 0.366 0.271  0.06
Se 0.556 0.229 0.134  0.06
Se 0.595 0.729 0.673  0.06
Se 0.944 0.578 0.173  0.06
Se 0.327 0.771 0.405  0.06
Se 0.078 0.905 0.134  0.06
Se 0.578 0.944 0.673  0.06
Se 0.729 0.595 0.173  0.06
Se 0.771 0.444 0.366  0.06
Se 0.827 0.922 0.056  0.06
Se 0.134 0.729 0.556  0.06
Se 0.366 0.422 0.095  0.06
Se 0.095 0.922 0.366  0.06
Se 0.405 0.134 0.578  0.06
Se 0.095 0.173 0.229  0.06
Se 0.444 0.673 0.078  0.06
Se 0.827 0.905 0.271  0.06
Se 0.134 0.405 0.078  0.06
Se 0.366 0.944 0.771  0.06
Se 0.578 0.634 0.405  0.06
Se 0.922 0.827 0.556  0.06
Se 0.771 0.327 0.905  0.06
Se 0.422 0.366 0.595  0.06
Se 0.078 0.173 0.444  0.06
Se 0.229 0.673 0.095  0.06
Se 0.173 0.095 0.729  0.06
Se 0.634 0.056 0.229  0.06
Se 0.866 0.595 0.922  0.06
Se 0.556 0.327 0.922  0.06
Se 0.595 0.866 0.422  0.06
Se 0.905 0.827 0.771  0.06
Se 0.905 0.078 0.634  0.06
Se 0.866 0.271 0.444  0.06
Se 0.173 0.078 0.944  0.06
Se 0.634 0.578 0.905  0.06
Se 0.422 0.056 0.327  0.06
Se 0.271 0.405 0.827  0.06
Se 0.229 0.556 0.634  0.06
Se 0.922 0.095 0.866  0.06
Se 0.673 0.229 0.595  0.06
Se 0.444 0.771 0.866  0.06
Se 0.056 0.422 0.827  0.06
Se 0.405 0.271 0.327  0.06
Se 0.056 0.634 0.729  0.06
Se 0.673 0.444 0.578  0.06
Se 0.271 0.866 0.944  0.06

Record 12
First-principles (PBE) data for crystalline In2CuH at its relaxed geometry, as listed in Alexandria via LeMat-Bulk.

Calculated values
distance to the lowest polymorph of the same formula: 0.005 eV per atom
total DFT energy (no corrections): -2.84 eV per atom

Lattice parameters (Å, degrees): 5.034 5.034 7.380 70.06 70.06 90.00
Positions (direct):
H 0.500 0.500 0.000
H 0.250 0.750 0.500
Cu 0.000 0.000 0.000
Cu 0.750 0.250 0.500
In 0.555 0.125 0.250
In 0.195 0.625 0.250
In 0.375 0.445 0.750
In 0.875 0.805 0.750